A geometry-optimized Ac2Pr3UN6 structure. Source: the Alexandria database, functional PBE.

Results
For the size of the total moment, the calculation gives 0.0 μB/cell. For the density of states at the Fermi level, the calculation gives 0.470 states/eV per atom. The raw formation energy comes out at -1265 meV per atom.

a b c (Å): 6.449 11.247 6.355
angles (deg): 90.00 109.72 90.00
Space group C2/m (No. 12)
One atom of each set of equivalent atoms:
Ac: 0.000 0.167 0.000 [4 per cell]
Pr: 0.000 0.000 0.500 [2 per cell]
Pr: 0.000 0.341 0.500 [4 per cell]
U: 0.000 0.500 0.000 [2 per cell]
N: 0.215 0.500 0.760 [4 per cell]
N: 0.216 0.360 0.226 [8 per cell]



A geometry-optimized AcPr2UN4 structure. Source: the Alexandria database, functional PBE.

Results
For the size of the total moment, the calculation gives 9.2 μB/cell. For the density of states at the Fermi level, the calculation gives 0.778 states/eV per atom. The raw formation energy comes out at -1000 meV per atom.

a b c (Å): 3.670 12.773 12.741
angles (deg): 90.00 90.00 90.00
Space group Cmcm (No. 63)
One atom of each set of equivalent atoms:
Ac: 0.000 0.169 0.250 [4 per cell]
Pr: 0.000 0.369 0.014 [8 per cell]
U: 0.000 0.098 0.750 [4 per cell]
N: 0.000 0.000 0.000 [4 per cell]
N: 0.000 0.229 0.628 [8 per cell]
N: 0.000 0.499 0.250 [4 per cell]



A geometry-optimized AcPrUN3 structure. Source: the Alexandria database, functional PBE.

Results
For the size of the total moment, the calculation gives 0.0 μB/cell. For the density of states at the Fermi level, the calculation gives 0.282 states/eV per atom. The raw formation energy comes out at -965 meV per atom.

a b c (Å): 7.918 3.781 8.728
angles (deg): 90.00 98.57 90.00
Space group P2_1/m (No. 11)
One atom of each set of equivalent atoms:
Ac: 0.172 0.250 0.145 [2 per cell]
Pr: 0.379 0.750 0.841 [2 per cell]
U: 0.063 0.250 0.594 [2 per cell]
N: 0.103 0.250 0.844 [2 per cell]
N: 0.203 0.750 0.578 [2 per cell]
N: 0.394 0.750 0.119 [2 per cell]



A geometry-optimized AcPr2VN4 structure. Source: the Alexandria database, functional PBE.

Results
For the size of the total moment, the calculation gives 0.0 μB/cell. For the density of states at the Fermi level, the calculation gives 0.484 states/eV per atom. The raw formation energy comes out at -1141 meV per atom.

a b c (Å): 3.552 12.344 12.334
angles (deg): 90.00 90.00 90.00
Space group Cmcm (No. 63)
One atom of each set of equivalent atoms:
Ac: 0.000 0.085 0.250 [4 per cell]
Pr: 0.000 0.369 0.042 [8 per cell]
V: 0.000 0.178 0.750 [4 per cell]
N: 0.000 0.000 0.000 [4 per cell]
N: 0.000 0.266 0.634 [8 per cell]
N: 0.000 0.410 0.250 [4 per cell]



A geometry-optimized AcPr2WN5 structure. Source: the Alexandria database, functional PBE.

Results
For the size of the total moment, the calculation gives 1.7 μB/cell. For the density of states at the Fermi level, the calculation gives 0.796 states/eV per atom. The raw formation energy comes out at -729 meV per atom.

a b c (Å): 6.936 6.936 6.046
angles (deg): 90.00 90.00 90.00
Space group P4/mbm (No. 127)
One atom of each set of equivalent atoms:
Ac: 0.000 0.000 0.000 [2 per cell]
Pr: 0.171 0.329 0.500 [4 per cell]
W: 0.000 0.500 0.000 [2 per cell]
N: 0.000 0.000 0.500 [2 per cell]
N: 0.141 0.641 0.229 [8 per cell]



A geometry-optimized AcPr2ZrN4 structure. Source: the Alexandria database, functional PBE.

Results
For the size of the total moment, the calculation gives 0.0 μB/cell. For the density of states at the Fermi level, the calculation gives 0.170 states/eV per atom. The raw formation energy comes out at -1244 meV per atom.

a b c (Å): 6.246 3.606 6.360
angles (deg): 90.00 109.29 90.00
Space group P2/m (No. 10)
One atom of each set of equivalent atoms:
Ac: 0.000 0.000 0.000 [1 per cell]
Pr: 0.500 0.000 0.500 [1 per cell]
Pr: 0.500 0.500 0.000 [1 per cell]
Zr: 0.000 0.500 0.500 [1 per cell]
N: 0.230 0.000 0.724 [2 per cell]
N: 0.233 0.500 0.282 [2 per cell]



A geometry-optimized AcPrZrN3 structure. Source: the Alexandria database, functional PBE.

Results
For the size of the total moment, the calculation gives 0.0 μB/cell. For the density of states at the Fermi level, the calculation gives 0.376 states/eV per atom. The raw formation energy comes out at -1093 meV per atom.

a b c (Å): 7.174 3.592 9.900
angles (deg): 90.00 90.42 90.00
Space group P2_1/m (No. 11)
One atom of each set of equivalent atoms:
Ac: 0.146 0.250 0.205 [2 per cell]
Pr: 0.370 0.750 0.870 [2 per cell]
Zr: 0.163 0.250 0.562 [2 per cell]
N: 0.139 0.750 0.443 [2 per cell]
N: 0.172 0.250 0.769 [2 per cell]
N: 0.356 0.750 0.110 [2 per cell]



A geometry-optimized AcPtN structure. Source: the Alexandria database, functional PBE.

Results
For the size of the total moment, the calculation gives 0.0 μB/cell. For the density of states at the Fermi level, the calculation gives 0.424 states/eV per atom. The raw formation energy comes out at -703 meV per atom.

a b c (Å): 4.5310 4.5310 22.0941
angles (deg): 90.00 90.00 120.00
Space group R-3m (No. 166, hexagonal axes)
One atom of each set of equivalent atoms:
Ac: 0.0000 0.0000 0.1031 [6 per cell]
Pt: 0.0000 0.0000 0.3110 [6 per cell]
N: 0.0000 0.0000 0.2173 [6 per cell]



A geometry-optimized AcPtN4 structure. Source: the Alexandria database, functional PBE.

Results
For the size of the total moment, the calculation gives 1.0 μB/cell. For the density of states at the Fermi level, the calculation gives 0.460 states/eV per atom. The raw formation energy comes out at -169 meV per atom.

a b c (Å): 6.318 20.238 4.880
angles (deg): 90.00 121.85 90.00
Space group C2/c (No. 15)
One atom of each set of equivalent atoms:
Ac: 0.000 0.179 0.250 [4 per cell]
Pt: 0.000 0.303 0.750 [4 per cell]
N: 0.004 0.064 0.869 [8 per cell]
N: 0.085 0.308 0.207 [8 per cell]



A geometry-optimized Ac6Pt2N structure. Source: the Alexandria database, functional PBE.

Results
For the size of the total moment, the calculation gives 0.0 μB/cell. For the density of states at the Fermi level, the calculation gives 0.894 states/eV per atom. The raw formation energy comes out at -790 meV per atom.

a b c (Å): 6.986 7.756 12.797
angles (deg): 90.00 122.75 90.00
Space group P2_1/c (No. 14)
One atom of each set of equivalent atoms:
Ac: 0.104 0.191 0.437 [4 per cell]
Ac: 0.247 0.668 0.434 [4 per cell]
Ac: 0.377 0.035 0.237 [4 per cell]
Pt: 0.182 0.113 0.745 [4 per cell]
N: 0.000 0.000 0.000 [2 per cell]



A geometry-optimized Ac3Pt2N structure. Source: the Alexandria database, functional PBE.

Results
For the size of the total moment, the calculation gives 0.0 μB/cell. For the density of states at the Fermi level, the calculation gives 0.478 states/eV per atom. The raw formation energy comes out at -1024 meV per atom. The calculation puts the polymorph energy (0 for the lowest one) at 0.00 kJ per mole of atoms.

a b c (Å): 13.619 6.175 8.142
angles (deg): 90.00 107.46 90.00
Space group C2/c (No. 15)
One atom of each set of equivalent atoms:
Ac: 0.000 0.040 0.250 [4 per cell]
Ac: 0.145 0.500 0.072 [8 per cell]
Pt: 0.172 0.001 0.086 [8 per cell]
N: 0.000 0.448 0.250 [4 per cell]



A geometry-optimized Ac12Pt3N5 structure. Source: the Alexandria database, functional PBE.

Results
For the size of the total moment, the calculation gives 0.0 μB/cell. For the density of states at the Fermi level, the calculation gives 0.942 states/eV per atom. The raw formation energy comes out at -814 meV per atom.

a b c (Å): 16.797 16.797 16.797
angles (deg): 90.00 90.00 90.00
Space group Ia-3d (No. 230)
One atom of each set of equivalent atoms:
Ac: 0.032 0.054 0.651 [96 per cell]
Pt: 0.000 0.250 0.125 [24 per cell]
N: 0.000 0.000 0.000 [16 per cell]
N: 0.000 0.250 0.375 [24 per cell]



Repeat the third record exactly.
A geometry-optimized AcPrUN3 structure. Source: the Alexandria database, functional PBE.

Results
For the size of the total moment, the calculation gives 0.0 μB/cell. For the density of states at the Fermi level, the calculation gives 0.282 states/eV per atom. The raw formation energy comes out at -965 meV per atom.

a b c (Å): 7.918 3.781 8.728
angles (deg): 90.00 98.57 90.00
Space group P2_1/m (No. 11)
One atom of each set of equivalent atoms:
Ac: 0.172 0.250 0.145 [2 per cell]
Pr: 0.379 0.750 0.841 [2 per cell]
U: 0.063 0.250 0.594 [2 per cell]
N: 0.103 0.250 0.844 [2 per cell]
N: 0.203 0.750 0.578 [2 per cell]
N: 0.394 0.750 0.119 [2 per cell]



Question: Which value of raw formation energy does entry 4 give?
Answer: -1141 meV per atom



Question: The highest raw formation energy belongs to which entry?
Answer: AcPtN4